--- a ---
4
Lattice="-2.005 -0.263 -2.969 1.222 -1.836 -2.835 -4.862 -9.800 1.977" Properties=species:S:1:pos:R:3 comment="PmDy2Sn, relaxed, DFT PBE-GGA" space_group=R3m magmom_total_mub_per_cell=0.001 pbc="T T T"
Pm -2.823 -5.951 -1.913
Dy -3.797 -7.693 1.071
Dy -1.324 -2.802 -1.031
Sn -0.524 -1.404 -3.868



--- b ---
4
Lattice="-1.594 -4.152 1.880 4.522 -1.119 1.363 -0.737 2.211 4.258" Properties=species:S:1:pos:R:3 comment="PmDy2Sn, relaxed, DFT PBE-GGA" space_group=P4/mmm magmom_total_mub_per_cell=0.001 pbc="T T T"
Pm 1.096 -1.530 3.750
Sn -0.797 -2.076 0.940
Dy -0.368 1.105 2.129
Dy 2.261 -0.560 0.682



Energies relative to the most stable structure are a 0.207; b 0.000, reported in eV/atom.



--- a ---
4
Lattice="5.502 0.000 0.000 2.751 4.765 0.000 2.751 1.588 4.492" Properties=species:S:1:pos:R:3 comment="Pm2DySn, relaxed, DFT PBE-GGA" space_group=Fm-3m magmom_total_mub_per_cell=0.005 pbc="T T T"
Pm 2.751 1.588 1.123
Pm 8.253 4.765 3.369
Sn 5.502 3.177 2.246
Dy 0.000 0.000 0.000



--- b ---
4
Lattice="-0.441 1.117 -3.289 1.616 -1.641 -2.638 -9.058 -7.510 -3.199" Properties=species:S:1:pos:R:3 comment="Pm2DySn, relaxed, DFT PBE-GGA" space_group=R-3m magmom_total_mub_per_cell=0.848 pbc="T T T"
Pm -6.402 -5.448 -2.855
Pm -1.481 -2.586 -6.271
Sn -3.942 -4.017 -4.563
Dy 0.000 0.000 0.000



--- c ---
4
Lattice="4.927 0.000 0.000 0.000 4.860 0.000 0.000 0.000 4.860" Properties=species:S:1:pos:R:3 comment="Pm2DySn, relaxed, DFT PBE-GGA" space_group=P4/mmm magmom_total_mub_per_cell=0.000 pbc="T T T"
Pm 0.000 0.000 2.430
Pm 0.000 2.430 0.000
Sn 2.463 2.430 2.430
Dy 2.463 0.000 0.000



Energies relative to the most stable structure are a 0.176; b 0.438; c 0.000, reported in eV/atom.